[1]
VASP calculation (GGA-PBE) on a geometry-optimized Ce4TlHg3 structure.

Values from the calculation:
* density of states at the Fermi level: 36.9 states/eV/cell
* V: 425.1 Å³/cell
* energy of formation: -165 meV/atom
* size of the total moment: 0.33 μB per atom

a = 19.3536 Å, b = 4.8124 Å, c = 4.6085 Å
α = 90.00°, β = 97.90°, γ = 90.00°
Last column: nearest neighbours and their distance in Å.
Space group C2/m (No. 12)
Symmetry-distinct sites (fractional):
Ce  0.1236  0.0000  0.0769 [4 per cell]  1 Ce 2.74
Ce  0.2386  0.0000  0.7919 [4 per cell]  1 Ce 2.74
Tl  0.0000  0.0000  0.5000 [2 per cell]  4 Ce 3.29-3.32, 8 Hg 3.33-3.47
Hg  0.0000  0.5000  0.0000 [2 per cell]  4 Tl 3.33, 4 Hg 3.38-3.42, 4 Ce 3.38
Hg  0.1302  0.5000  0.5819 [4 per cell]  8 Ce 3.25-3.57, 2 Hg 3.38-3.42, 2 Tl 3.47


[2]
VASP calculation (GGA-PBE) on a geometry-optimized MnMoP structure.

Values from the calculation:
* density of states at the Fermi level: 1.6 states/eV/cell
* V: 37.8 Å³/cell
* energy of formation: -316 meV/atom
* size of the total moment: 0.00 μB per atom

a = 3.9407 Å, b = 3.9407 Å, c = 2.8098 Å
α = 90.00°, β = 90.00°, γ = 120.00°
Last column: nearest neighbours and their distance in Å.
Space group P-6m2 (No. 187)
Symmetry-distinct sites (fractional):
Mn  0.0000  0.0000  0.0000 [1 per cell]  3 P 2.28
Mo  0.6667  0.3333  0.5000 [1 per cell]  6 Mn 2.67, 6 P 2.67, 2 Mo 2.81
P  0.3333  0.6667  0.0000 [1 per cell]  3 Mn 2.28


[3]
VASP calculation (GGA-PBE) on a geometry-optimized CaSb2Pt structure.

Values from the calculation:
* density of states at the Fermi level: 2.9 states/eV/cell
* V: 96.9 Å³/cell
* formation energy from raw total energies: -300.6 meV per atom
* size of the total moment: 0.00 μB per atom

a = 3.8143 Å, b = 3.8143 Å, c = 6.6585 Å
α = 90.00°, β = 90.00°, γ = 90.00°
Last column: nearest neighbours and their distance in Å.
Space group P4/mmm (No. 123)
Symmetry-distinct sites (fractional):
Ca  0.0000  0.0000  0.0000 [1 per cell]  8 Sb 3.33, 2 Pt 3.33
Sb  0.5000  0.5000  0.2931 [2 per cell]  1 Sb 2.76, 4 Pt 3.03
Pt  0.0000  0.0000  0.5000 [1 per cell]  8 Sb 3.03, 2 Ca 3.33


Question: What is the size of the total moment in the first record?
Answer: 0.33 μB per atom


What did the second record say?
VASP calculation (GGA-PBE) on a geometry-optimized MnMoP structure.

Values from the calculation:
* density of states at the Fermi level: 1.6 states/eV/cell
* V: 37.8 Å³/cell
* energy of formation: -316 meV/atom
* size of the total moment: 0.00 μB per atom

a = 3.9407 Å, b = 3.9407 Å, c = 2.8098 Å
α = 90.00°, β = 90.00°, γ = 120.00°
Last column: nearest neighbours and their distance in Å.
Space group P-6m2 (No. 187)
Symmetry-distinct sites (fractional):
Mn  0.0000  0.0000  0.0000 [1 per cell]  3 P 2.28
Mo  0.6667  0.3333  0.5000 [1 per cell]  6 Mn 2.67, 6 P 2.67, 2 Mo 2.81
P  0.3333  0.6667  0.0000 [1 per cell]  3 Mn 2.28